VASP calculation (PBE) on an optimized crystal structure of Nd12Sm6Ho.

As for the energy relative to the lowest polymorph listed for this composition: 0.179 eV/atom. Its total magnetization is 0.000 Bohr magnetons per cell. Its formation energy is 309 meV per atom. The density of states at the Fermi level comes out at 1.6802 states/eV per atom.

Cell: 9.9302 9.9302 9.9302 Å, 111.97 111.97 111.97°
Last column: nearest neighbours and their distance in Å.
Sites, in units of the cell vectors:
1 Nd 0.8809 0.1191 0.5000  4 Nd 3.18-3.20, 2 Sm 3.48
2 Nd 0.2722 0.9112 0.2722  2 Nd 3.20, 2 Sm 3.50
3 Nd 0.2722 0.2722 0.9112  2 Nd 3.20, 2 Sm 3.50
4 Nd 0.0888 0.7278 0.7278  2 Nd 3.20, 2 Sm 3.50
5 Nd 0.7278 0.7278 0.0888  2 Nd 3.20, 2 Sm 3.50
6 Nd 0.7278 0.0888 0.7278  2 Nd 3.20, 2 Sm 3.50
7 Nd 0.5000 0.8809 0.1191  4 Nd 3.18-3.20, 2 Sm 3.48
8 Nd 0.1191 0.5000 0.8809  4 Nd 3.18-3.20, 2 Sm 3.48
9 Nd 0.1191 0.8809 0.5000  4 Nd 3.18-3.20, 2 Sm 3.48
10 Nd 0.5000 0.1191 0.8809  4 Nd 3.18-3.20, 2 Sm 3.48
11 Nd 0.8809 0.5000 0.1191  4 Nd 3.18-3.20, 2 Sm 3.48
12 Nd 0.9112 0.2722 0.2722  2 Nd 3.20, 2 Sm 3.50
13 Sm 0.7294 0.4804 0.7294  2 Sm 3.46, 4 Nd 3.48-3.50, 1 Ho 3.86
14 Sm 0.7294 0.7294 0.4804  2 Sm 3.46, 4 Nd 3.48-3.50, 1 Ho 3.86
15 Sm 0.4804 0.7294 0.7294  2 Sm 3.46, 4 Nd 3.48-3.50, 1 Ho 3.86
16 Sm 0.2706 0.2706 0.5196  2 Sm 3.46, 4 Nd 3.48-3.50, 1 Ho 3.86
17 Sm 0.2706 0.5196 0.2706  2 Sm 3.46, 4 Nd 3.48-3.50, 1 Ho 3.86
18 Sm 0.5196 0.2706 0.2706  2 Sm 3.46, 4 Nd 3.48-3.50, 1 Ho 3.86
19 Ho 0.0000 0.0000 0.0000  6 Nd 3.67, 6 Sm 3.86